VASP calculation (PBE+U) on crystalline NiBiF2 at its relaxed geometry.

a = 3.2493 Å, b = 3.2493 Å, c = 23.2101 Å
α = 90.00°, β = 90.00°, γ = 120.00°
Space group R-3m (No. 166, hexagonal axes)
Unique sites:
Ni: 0.0000 0.0000 0.0000 (multiplicity 3)
Bi: 0.0000 0.0000 0.5000 (multiplicity 3)
F: 0.0000 0.0000 0.0829 (multiplicity 6)

Calculated total energy ... -3.538 eV per atom
DOS(E_F) ... 0.261 states/eV/atom
Crystal system ... trigonal